Record 1
Entry from the Open Quantum Materials Database: a relaxed NbI3Cl2 crystal (PBE).

Output
theoretical density = 3840 kg/m³

Structure (CIF):
```
data_NbI3Cl2
_space_group_name_H-M_alt 'P -1'
_space_group_IT_number 2
_cell_length_a 6.8402
_cell_length_b 7.4768
_cell_length_c 10.6171
_cell_angle_alpha 107.77
_cell_angle_beta 93.55
_cell_angle_gamma 111.72
loop_
_space_group_symop_operation_xyz
'x,y,z'
'-x,-y,-z'
loop_
_atom_site_label
_atom_site_fract_x
_atom_site_fract_y
_atom_site_fract_z
Nb1 0.1047 0.2203 0.2195
I1 0.0849 0.8142 0.5722
I2 0.2398 0.1767 0.9560
I3 0.4517 0.5739 0.3246
Cl1 0.1065 0.6299 0.8499
Cl2 0.2905 0.0218 0.2461
```



Record 2
Entry from the Open Quantum Materials Database: a relaxed NbI2ClO crystal (PBE).

Output
theoretical density = 4252 kg/m³

Structure (CIF):
```
data_NbI2ClO
_space_group_name_H-M_alt 'C 1 2 1'
_space_group_IT_number 5
_cell_length_a 14.7998
_cell_length_b 3.9571
_cell_length_c 12.4346
_cell_angle_alpha 90.00
_cell_angle_beta 121.34
_cell_angle_gamma 90.00
loop_
_space_group_symop_operation_xyz
'x,y,z'
'-x,y,-z'
'x+1/2,y+1/2,z'
'-x+1/2,y+1/2,-z'
loop_
_atom_site_label
_atom_site_fract_x
_atom_site_fract_y
_atom_site_fract_z
Nb1 0.1155 0.0000 0.1812
I1 0.1074 0.0442 0.3905
I2 0.1756 0.5444 0.7223
Cl1 0.0869 0.0490 0.9581
O1 0.1099 0.5368 0.1732
```



| no. | energy above the lowest structure with this stoichiometry (eV/f.u.) | magnetization (μB per formula unit) |
| --- | --- | --- |
| 1 | 0.000 | 0.0 |
| 2 | 0.000 | 0.0 |